1.
Er2As7Rh12 PBE relaxed; space group = P3, No. 143
1.0
9.9790 0.0000 0.0000
-4.9895 8.6421 0.0000
0.0000 0.0000 3.9049
Er As Rh
2 7 12
Direct
0.0000 0.0000 0.0000
0.3333 0.6667 0.5027
0.0727 0.6212 0.0006
0.2606 0.0455 0.5022
0.3788 0.4515 0.0006
0.5485 0.9273 0.0006
0.6667 0.3333 0.2534
0.7849 0.7394 0.5022
0.9545 0.2151 0.5022
0.0479 0.7824 0.5013
0.1157 0.4011 0.0016
0.2176 0.2655 0.5013
0.2854 0.8843 0.0016
0.4029 0.2183 0.9989
0.5178 0.0693 0.5041
0.5516 0.4822 0.5041
0.5989 0.7146 0.0016
0.7345 0.9521 0.5013
0.7817 0.1846 0.9989
0.8154 0.5971 0.9989
0.9307 0.4484 0.5041

***

2.
NbReB2Au PBE relaxed; space group = P4/mmm, No. 123
1.0
4.2179 0.0000 0.0000
0.0000 4.2179 0.0000
0.0000 0.0000 4.9959
Nb Re B Au
1 1 2 1
Direct
0.0000 0.0000 0.0000
0.0000 0.0000 0.5000
0.0000 0.5000 0.0000
0.5000 0.0000 0.0000
0.5000 0.5000 0.5000

***

3.
ZrBSeN2 PBE relaxed; E_form (uncorrected) = 3.80 eV/f.u.; space group = P4/mmm, No. 123
1.0
3.6476 0.0000 0.0000
0.0000 3.6476 0.0000
0.0000 0.0000 4.4177
Zr B Se N
1 1 1 2
Direct
0.0000 0.0000 0.0000
0.5000 0.5000 0.5000
0.5000 0.5000 0.0000
0.0000 0.5000 0.5000
0.5000 0.0000 0.5000

***

4.
FeCo PBE relaxed; space group = Fd-3m, No. 227
1.0
0.0000 2.8393 2.8393
2.8393 0.0000 2.8393
2.8393 2.8393 0.0000
Fe Co
2 2
Direct
0.1250 0.1250 0.1250
0.8750 0.8750 0.8750
0.3750 0.3750 0.3750
0.6250 0.6250 0.6250

***

5.
SrCu3Pb PBE relaxed; space group = Pm-3m, No. 221
1.0
5.3008 0.0000 0.0000
0.0000 5.3008 0.0000
0.0000 0.0000 5.3008
Sr Cu Pb
1 3 1
Direct
0.0000 0.0000 0.0000
0.0000 0.0000 0.5000
0.0000 0.5000 0.0000
0.5000 0.0000 0.0000
0.5000 0.5000 0.5000

***

6.
CsGe2Au PBE relaxed; space group = Fm-3m, No. 225
1.0
0.0000 3.6992 3.6992
3.6992 0.0000 3.6992
3.6992 3.6992 0.0000
Cs Ge Au
1 2 1
Direct
0.0000 0.0000 0.0000
0.2500 0.2500 0.2500
0.7500 0.7500 0.7500
0.5000 0.5000 0.5000

***

| no. | uncorrected energy (eV/atom) |
| --- | --- |
| 1 | -6.880 |
| 2 | -5.931 |
| 3 | -6.313 |
| 4 | -7.776 |
| 5 | -2.427 |
| 6 | -2.799 |